No. 1
The following is a PBE calculation of crystalline YTm3Te2C2 at its relaxed geometry, from OQMD.

Unit cell a=3.789 b=3.789 c=13.870 alpha=90.00 beta=90.00 gamma=120.00
Atoms (fractional coordinates):
Y 0.000 0.000 0.000
Tm 0.000 0.000 0.316
Tm 0.333 0.667 0.500
Tm 0.333 0.667 0.813
Te 0.000 0.000 0.656
Te 0.333 0.667 0.160
C 0.667 0.333 0.408
C 0.667 0.333 0.904

Values from the calculation:
**V**: 172.4 Å³ per cell
**Calculated total energy**: -6.465 eV per atom

=====

No. 2
The following is a PBE calculation of crystalline YTmTeC at its relaxed geometry, from OQMD.

Unit cell a=3.810 b=3.810 c=13.921 alpha=90.00 beta=90.00 gamma=120.00
Atoms (fractional coordinates):
Y 0.333 0.667 0.405
Y 0.667 0.333 0.595
Tm 0.333 0.667 0.091
Tm 0.667 0.333 0.909
Te 0.333 0.667 0.754
Te 0.667 0.333 0.246
C 0.000 0.000 0.000
C 0.000 0.000 0.500

Values from the calculation:
**V**: 175.0 Å³ per cell
**Calculated total energy**: -6.712 eV per atom

=====

No. 3
The following is a PBE calculation of crystalline YTmTeC at its relaxed geometry, from OQMD.

Unit cell a=3.808 b=3.808 c=13.917 alpha=90.00 beta=90.00 gamma=120.00
Atoms (fractional coordinates):
Y 0.333 0.667 0.000
Y 0.667 0.333 0.500
Tm 0.333 0.667 0.314
Tm 0.667 0.333 0.814
Te 0.333 0.667 0.659
Te 0.667 0.333 0.159
C 0.000 0.000 0.405
C 0.000 0.000 0.905

Values from the calculation:
**V**: 174.8 Å³ per cell
**Calculated total energy**: -6.712 eV per atom

=====

No. 4
The following is a PBE calculation of crystalline TmZr3Te2C2 at its relaxed geometry, from OQMD.

Unit cell a=3.588 b=3.588 c=13.560 alpha=90.00 beta=90.00 gamma=120.00
Atoms (fractional coordinates):
Tm 0.000 0.000 0.000
Zr 0.000 0.000 0.675
Zr 0.667 0.333 0.184
Zr 0.667 0.333 0.501
Te 0.000 0.000 0.343
Te 0.667 0.333 0.831
C 0.333 0.667 0.098
C 0.333 0.667 0.588

Values from the calculation:
**V**: 151.2 Å³ per cell
**Calculated total energy**: -7.742 eV per atom

=====

No. 5
The following is a PBE calculation of crystalline Tm3ZrTe2C2 at its relaxed geometry, from OQMD.

Unit cell a=3.701 b=3.701 c=13.757 alpha=90.00 beta=90.00 gamma=120.00
Atoms (fractional coordinates):
Tm 0.000 0.000 0.000
Tm 0.000 0.000 0.318
Tm 0.333 0.667 0.504
Zr 0.333 0.667 0.820
Te 0.000 0.000 0.670
Te 0.333 0.667 0.158
C 0.667 0.333 0.413
C 0.667 0.333 0.902

Values from the calculation:
**V**: 163.2 Å³ per cell
**Calculated total energy**: -6.705 eV per atom

=====

No. 6
The following is a PBE calculation of crystalline Tm3ZrTe2C2 at its relaxed geometry, from OQMD.

Unit cell a=3.702 b=3.702 c=13.761 alpha=90.00 beta=90.00 gamma=120.00
Atoms (fractional coordinates):
Tm 0.000 0.000 0.000
Tm 0.000 0.000 0.318
Tm 0.667 0.333 0.814
Zr 0.667 0.333 0.498
Te 0.000 0.000 0.648
Te 0.667 0.333 0.160
C 0.333 0.667 0.415
C 0.333 0.667 0.905

Values from the calculation:
**V**: 163.4 Å³ per cell
**Calculated total energy**: -6.705 eV per atom

=====

No. 7
The following is a PBE calculation of crystalline U2TeC2 at its relaxed geometry, from OQMD.

Unit cell a=3.889 b=3.889 c=7.275 alpha=90.12 beta=90.12 gamma=60.19
Atoms (fractional coordinates):
U 0.166 0.166 0.308
U 0.834 0.834 0.692
Te 0.500 0.500 0.000
C 0.168 0.168 0.619
C 0.832 0.832 0.381

Values from the calculation:
**V**: 95.5 Å³ per cell
**Calculated total energy**: -9.109 eV per atom

=====

No. 8
The following is a PBE calculation of crystalline YZrTeC at its relaxed geometry, from OQMD.

Unit cell a=3.660 b=3.660 c=13.844 alpha=90.00 beta=90.00 gamma=120.00
Atoms (fractional coordinates):
Y 0.000 0.000 0.163
Y 0.000 0.000 0.837
Zr 0.667 0.333 0.346
Zr 0.667 0.333 0.654
Te 0.000 0.000 0.500
Te 0.667 0.333 0.000
C 0.333 0.667 0.266
C 0.333 0.667 0.734

Values from the calculation:
**V**: 160.6 Å³ per cell
**Polymorph energy (0 for the lowest one)**: 0.05 eV per formula unit
**Calculated total energy**: -7.695 eV per atom